[1]
The following is a DFT calculation (GGA-PBE) of an optimized crystal structure of SrCuTeN2.

Cell lengths 4.3447, 4.3447, 5.2039 Å; angles 90.00, 90.00, 90.00 degrees
Closest atoms and distances in Å follow each position.
Space group P4/mmm (No. 123)
One atom of each set of equivalent atoms:
Sr1 0.0000 0.0000 0.0000  4 Te 3.07, 8 N 3.39
Cu1 0.5000 0.5000 0.5000  4 N 2.17
Te1 0.5000 0.5000 0.0000  2 Cu 2.60
N1 0.0000 0.5000 0.5000  2 Cu 2.17

As for the calculated total energy: -0.3097 Ry/atom. Its polymorph energy (0 for the lowest one) is 0 meV per atom. Its formation energy (no corrections) is 0.90 eV per atom.

[2]
The following is a DFT calculation (GGA-PBE) of an optimized crystal structure of HfRhSe2Br.

Cell lengths 5.1355, 5.1355, 5.1519 Å; angles 90.00, 90.00, 90.00 degrees
Closest atoms and distances in Å follow each position.
Space group P4/mmm (No. 123)
One atom of each set of equivalent atoms:
Hf1 0.0000 0.0000 0.0000  4 Se 2.57, 2 Br 2.58
Rh1 0.5000 0.5000 0.5000  4 Br 3.63, 8 Se 3.64
Se1 0.0000 0.5000 0.0000  2 Hf 2.57
Br1 0.0000 0.0000 0.5000  2 Hf 2.58

As for the calculated total energy: -0.3756 Ry/atom. Its polymorph energy (0 for the lowest one) is 0 meV per atom. Its formation energy (no corrections) is 0.08 eV per atom.

[3]
The following is a DFT calculation (GGA-PBE) of an optimized crystal structure of Na3In3Hg2.

Cell lengths 5.3686, 5.5711, 7.0591 Å; angles 90.00, 90.00, 90.00 degrees
Closest atoms and distances in Å follow each position.
Space group Pmmm (No. 47)
One atom of each set of equivalent atoms:
Na1 0.0000 0.0000 0.0000  4 Hg 3.20, 4 In 3.34, 2 Na 3.53
Na2 0.0000 0.0000 0.5000  4 Hg 3.22, 4 In 3.25, 2 Na 3.53
Na3 0.5000 0.5000 0.0000  6 In 3.26-3.53, 4 Hg 3.29
In1 0.0000 0.5000 0.2616  3 In 3.17-3.37, 6 Na 3.25-3.34
In2 0.5000 0.5000 0.5000  4 In 3.17, 4 Hg 3.31, 2 Na 3.53
Hg1 0.5000 0.0000 0.2475  6 Na 3.20-3.29, 2 In 3.31, 2 Hg 3.49-3.57

As for the calculated total energy: -0.1270 Ry/atom. Its polymorph energy (0 for the lowest one) is 5 meV per atom.

- Which of these has the highest polymorph energy (0 for the lowest one)?
  Na3In3Hg2